1.
Entry from the Alexandria database: AlMo3Pt after structural relaxation (GGA-PBEsol).

The structure in POSCAR format:
```
AlMo3Pt
1.0
-1.517 4.430 -0.473
-4.266 -1.301 1.502
1.283 0.913 4.435
Mo Al Pt
3 1 1
direct
0.000 0.500 0.000
0.000 0.000 0.500
0.500 0.000 0.000
0.500 0.500 0.500
0.000 0.000 0.000
```

Computed properties:
total moment: 0.00 μB/cell
energy of formation: 1.7470 eV/atom
D(E_F): 6.677 states/eV/f.u.

=====

2.
Entry from the Alexandria database: Zr2CoPt after structural relaxation (GGA-PBEsol).

The structure in POSCAR format:
```
Zr2CoPt
1.0
3.603 0.000 0.000
0.000 3.886 0.001
0.000 -0.776 5.253
Co Pt Zr
1 1 2
direct
0.500 0.500 0.000
0.000 0.000 0.500
0.000 0.000 0.000
0.500 0.500 0.500
```

Computed properties:
total moment: 0.00 μB/cell
energy of formation: -0.3182 eV/atom
D(E_F): 2.793 states/eV/f.u.

=====

3.
Entry from the Alexandria database: AlCrNi after structural relaxation (GGA-PBEsol).

The structure in POSCAR format:
```
AlCrNi
1.0
-0.039 0.481 -2.498
3.467 -2.057 -0.450
-3.556 -1.926 -0.315
Ni Al Cr
1 1 1
direct
0.265 0.667 0.333
0.085 0.000 0.000
0.650 0.333 0.667
```

Computed properties:
total moment: 1.94 μB/cell
energy of formation: -0.0272 eV/atom
D(E_F): 3.706 states/eV/f.u.

=====

4.
Entry from the Alexandria database: NaGa3Te5 after structural relaxation (GGA-PBEsol).

The structure in POSCAR format:
```
NaGa3Te5
1.0
-0.010 2.465 9.945
-1.279 -9.879 2.397
10.171 -1.203 0.257
Na Ga Te
4 12 20
direct
0.000 0.743 0.257
0.257 0.000 0.743
0.743 0.257 0.000
0.500 0.500 0.500
0.877 0.575 0.838
0.838 0.877 0.575
0.575 0.838 0.877
0.425 0.123 0.162
0.162 0.425 0.123
0.123 0.162 0.425
0.168 0.342 0.747
0.747 0.168 0.342
0.342 0.747 0.168
0.658 0.832 0.253
0.253 0.658 0.832
0.832 0.253 0.658
0.830 0.000 0.170
0.000 0.170 0.830
0.168 0.168 0.168
0.832 0.832 0.832
0.170 0.830 0.000
0.500 0.080 0.920
0.920 0.500 0.080
0.080 0.920 0.500
0.680 0.434 0.751
0.751 0.680 0.434
0.434 0.751 0.680
0.566 0.320 0.249
0.249 0.566 0.320
0.320 0.249 0.566
0.069 0.571 0.668
0.668 0.069 0.571
0.571 0.668 0.069
0.429 0.931 0.332
0.332 0.429 0.931
0.931 0.332 0.429
```

Computed properties:
total moment: 0.00 μB/cell
uncorrected formation energy: -3.88 eV per formula unit